Here is a relaxed structure of LiHoAg6 from the Alexandria database. Energies are from PBE.

```
LiHoAg6
1.0
4.381 0.000 1.196
2.124 4.336 0.842
0.178 -0.696 7.969
Ag Ho Li
6 1 1
Direct
0.239 0.864 0.657 Ag
0.250 0.390 0.109 Ag
0.761 0.136 0.343 Ag
0.750 0.610 0.891 Ag
0.514 0.230 0.743 Ag
0.486 0.770 0.257 Ag
0.000 0.500 0.500 Ho
0.000 0.000 0.000 Li
```

Values from the calculation:
Formation energy: -0.17 eV/atom
Distance to the lowest polymorph of the same formula: 0.000 eV per atom
Symmetry: No. 12
Size of the total moment: 0.00 μB/cell

***

Here is a relaxed structure of LiHoAg6 from the Alexandria database. Energies are from PBE.

```
LiHoAg6
1.0
5.029 0.838 -0.174
1.214 4.952 -0.174
1.627 1.509 7.022
Ag Li Ho
6 1 1
Direct
0.517 0.036 0.308 Ag
0.368 0.368 0.930 Ag
0.483 0.964 0.692 Ag
0.964 0.483 0.692 Ag
0.632 0.632 0.070 Ag
0.036 0.517 0.308 Ag
0.500 0.500 0.500 Li
0.000 0.000 0.000 Ho
```

Values from the calculation:
Formation energy: -0.02 eV/atom
Distance to the lowest polymorph of the same formula: 0.147 eV per atom
Symmetry: No. 12
Size of the total moment: 0.00 μB/cell

***

Here is a relaxed structure of Li2HoAg8 from the Alexandria database. Energies are from PBE.

```
Li2HoAg8
1.0
-3.766 1.634 0.022
-1.272 -3.010 5.907
4.841 5.981 1.518
Ag Li Ho
8 2 1
Direct
0.685 0.915 0.369 Ag
0.599 0.464 0.198 Ag
0.953 0.281 0.906 Ag
0.401 0.536 0.802 Ag
0.047 0.719 0.094 Ag
0.315 0.085 0.631 Ag
0.854 0.797 0.707 Ag
0.146 0.203 0.293 Ag
0.779 0.356 0.558 Li
0.221 0.644 0.442 Li
0.500 0.000 0.000 Ho
```

Values from the calculation:
Formation energy: -0.16 eV/atom
Symmetry: No. 12
Size of the total moment: 0.00 μB/cell

***

Here is a relaxed structure of LiHoAg from the Alexandria database. Energies are from PBE.

```
LiHoAg
1.0
-2.920 1.086 -1.733
0.324 -2.739 -2.262
-5.801 -5.769 6.155
Li Ag Ho
2 2 2
Direct
0.372 0.791 0.686 Li
0.872 0.291 0.826 Li
0.872 0.291 0.550 Ag
0.373 0.791 0.963 Ag
0.372 0.791 0.376 Ho
0.872 0.291 0.136 Ho
```

Values from the calculation:
Formation energy: -0.18 eV/atom
Distance to the lowest polymorph of the same formula: 0.009 eV per atom
Symmetry: No. 129
Size of the total moment: 0.68 μB/cell

***

Here is a relaxed structure of LiHo4Ag5 from the Alexandria database. Energies are from PBE.

```
LiHo4Ag5
1.0
-3.028 -1.684 0.806
-0.209 -1.221 -3.334
9.225 -14.352 4.674
Ho Ag Li
4 5 1
Direct
0.000 0.000 0.815 Ho
0.000 0.000 0.605 Ho
0.000 0.000 0.395 Ho
0.000 0.000 0.185 Ho
0.500 0.500 0.500 Ag
0.500 0.500 0.081 Ag
0.500 0.500 0.710 Ag
0.500 0.500 0.290 Ag
0.500 0.500 0.919 Ag
0.000 0.000 0.000 Li
```

Values from the calculation:
Formation energy: -0.29 eV/atom
Symmetry: No. 123
Size of the total moment: 0.00 μB/cell

***

Here is a relaxed structure of LiHo5Ag6 from the Alexandria database. Energies are from PBE.

```
LiHo5Ag6
1.0
-0.764 2.072 4.536
-7.849 -0.709 -3.798
4.878 -7.147 1.285
Ag Li Ho
6 1 5
Direct
0.246 0.411 0.082 Ag
0.257 0.757 0.757 Ag
0.246 0.082 0.411 Ag
0.754 0.918 0.589 Ag
0.743 0.243 0.243 Ag
0.754 0.589 0.918 Ag
0.000 0.000 0.000 Li
0.500 0.167 0.833 Ho
0.000 0.667 0.333 Ho
0.000 0.333 0.667 Ho
0.500 0.833 0.167 Ho
0.500 0.500 0.500 Ho
```

Values from the calculation:
Formation energy: -0.28 eV/atom
Symmetry: No. 12
Size of the total moment: 0.00 μB/cell

***

Here is a relaxed structure of Li4HoAg5 from the Alexandria database. Energies are from PBE.

```
Li4HoAg5
1.0
-2.120 1.746 1.774
-2.450 -1.879 -1.079
2.227 -10.195 12.699
Ag Li Ho
5 4 1
Direct
0.500 0.500 0.872 Ag
0.500 0.500 0.128 Ag
0.500 0.500 0.686 Ag
0.500 0.500 0.500 Ag
0.500 0.500 0.314 Ag
0.000 0.000 0.407 Li
0.000 0.000 0.593 Li
0.000 0.000 0.222 Li
0.000 0.000 0.778 Li
0.000 0.000 0.000 Ho
```

Values from the calculation:
Formation energy: -0.21 eV/atom
Symmetry: No. 123
Size of the total moment: 0.00 μB/cell

***

Here is a relaxed structure of Li2Ho2Ag3 from the Alexandria database. Energies are from PBE.

```
Li2Ho2Ag3
1.0
3.580 0.000 0.475
0.000 3.466 0.000
0.234 0.000 11.959
Ag Li Ho
3 2 2
Direct
0.842 0.000 0.315 Ag
0.000 0.000 0.000 Ag
0.158 0.000 0.685 Ag
0.710 0.500 0.580 Li
0.290 0.500 0.420 Li
0.421 0.500 0.157 Ho
0.579 0.500 0.843 Ho
```

Values from the calculation:
Formation energy: -0.20 eV/atom
Symmetry: No. 65
Size of the total moment: 0.00 μB/cell

***

Here is a relaxed structure of LiHoAg4 from the Alexandria database. Energies are from PBE.

```
LiHoAg4
1.0
5.564 0.000 0.000
2.782 4.818 0.000
2.782 1.606 4.543
Ag Ho Li
4 1 1
Direct
0.625 0.126 0.625 Ag
0.126 0.625 0.625 Ag
0.625 0.625 0.625 Ag
0.625 0.625 0.126 Ag
0.000 0.000 0.000 Ho
0.250 0.250 0.250 Li
```

Values from the calculation:
Formation energy: -0.13 eV/atom
Distance to the lowest polymorph of the same formula: 0.038 eV per atom
Symmetry: No. 216
Size of the total moment: 0.00 μB/cell

***

Here is a relaxed structure of Li3HoAg7 from the Alexandria database. Energies are from PBE.

```
Li3HoAg7
1.0
-0.793 5.452 -1.433
-4.930 -5.530 -1.246
-0.698 -2.760 6.953
Ag Li Ho
7 3 1
Direct
0.318 0.037 0.587 Ag
0.314 0.178 0.178 Ag
0.686 0.822 0.822 Ag
0.682 0.413 0.963 Ag
0.682 0.963 0.413 Ag
0.318 0.587 0.037 Ag
0.000 0.500 0.500 Ag
0.500 0.000 0.000 Li
0.000 0.231 0.769 Li
0.000 0.769 0.231 Li
0.500 0.500 0.500 Ho
```

Values from the calculation:
Formation energy: -0.04 eV/atom
Symmetry: No. 12
Size of the total moment: 0.00 μB/cell

***

Here is a relaxed structure of Li2HoAg from the Alexandria database. Energies are from PBE.

```
Li2HoAg
1.0
3.415 0.000 0.000
0.000 3.415 0.000
0.000 0.000 6.944
Ho Ag Li
1 1 2
Direct
0.500 0.500 0.500 Ho
0.500 0.500 0.000 Ag
0.000 0.000 0.188 Li
0.000 0.000 0.812 Li
```

Values from the calculation:
Formation energy: -0.01 eV/atom
Distance to the lowest polymorph of the same formula: 0.025 eV per atom
Symmetry: No. 123
Size of the total moment: 0.00 μB/cell

***

Here is a relaxed structure of LiHoAg4 from the Alexandria database. Energies are from PBE.

```
LiHoAg4
1.0
-1.495 -4.340 -2.274
-1.108 -2.920 4.119
-4.799 0.043 1.982
Li Ag Ho
1 4 1
Direct
0.001 0.502 0.496 Li
0.001 0.177 0.145 Ag
0.501 0.666 0.167 Ag
0.001 0.826 0.846 Ag
0.501 0.338 0.824 Ag
0.501 0.002 0.495 Ho
```

Values from the calculation:
Formation energy: -0.17 eV/atom
Distance to the lowest polymorph of the same formula: 0.000 eV per atom
Symmetry: No. 12
Size of the total moment: 0.00 μB/cell